Entry 1:
Material: Ba2NaIn3Ge4
Method: DFT, PBE
State: optimized geometry

Unit cell a=4.9732 b=4.9732 c=11.2125 alpha=90.00 beta=90.00 gamma=90.00
Element x y z (fractional)
Na  0.5000  0.5000  0.5000
Ba  0.5000  0.0000  0.2384
Ba  0.0000  0.5000  0.7616
Ge  0.5000  0.0000  0.6377
Ge  0.0000  0.0000  0.0000
Ge  0.0000  0.5000  0.3623
Ge  0.5000  0.5000  0.0000
In  0.5000  0.0000  0.8783
In  0.0000  0.0000  0.5000
In  0.0000  0.5000  0.1217

Summary:
M_tot in μB per cell: 0.0
Raw total energy in eV/atom: -3.492
ΔE_f in eV per atom: -0.307
SG: P-4m2

---

Entry 2:
Material: BaNaIn2Ge
Method: DFT, PBE
State: optimized geometry

Unit cell a=5.0387 b=4.6443 c=7.1708 alpha=108.89 beta=110.57 gamma=90.00
Element x y z (fractional)
In  0.0487  0.0487  0.0974
In  0.6932  0.1932  0.3865
Na  0.2047  0.7047  0.4095
Ge  0.8312  0.8312  0.6625
Ba  0.4342  0.4342  0.8685

Summary:
M_tot in μB per cell: 0.0
Raw total energy in eV/atom: -2.993
ΔE_f in eV per atom: -0.326
SG: Imm2

---

Entry 3:
Material: Ba2InNiGe
Method: DFT, PBE
State: optimized geometry

Unit cell a=6.0790 b=6.0790 c=4.5134 alpha=90.00 beta=90.00 gamma=90.00
Element x y z (fractional)
In  0.5000  0.5000  0.5000
Ba  0.0000  0.5000  0.0000
Ba  0.5000  0.0000  0.0000
Ni  0.0000  0.0000  0.0000
Ge  0.0000  0.0000  0.5000

Summary:
M_tot in μB per cell: 0.0
Raw total energy in eV/atom: -3.668
ΔE_f in eV per atom: -0.272
SG: P4/mmm

---

Entry 4:
Material: Ba2InGeO6
Method: DFT, PBE
State: optimized geometry

Unit cell a=5.8413 b=5.8414 c=5.8406 alpha=60.01 beta=60.01 gamma=90.00
Each line ends with the local moment (μB).
Element x y z (fractional)
O  0.7654  0.7654  0.4691  0.13
O  0.7654  0.7654  0.0000  0.13
O  0.2346  0.2346  0.0000  0.13
O  0.2346  0.2346  0.5309  0.13
O  0.7654  0.2346  0.0000  0.13
O  0.2346  0.7654  0.0000  0.13
Ba  0.2500  0.7500  0.5000  -0.01
Ba  0.7500  0.2500  0.5000  -0.01
Ge  0.0000  0.0000  0.0000  -0.01
In  0.5000  0.5000  0.0000  -0.01

Summary:
Formation energy without anion corrections in eV/atom: -1.970
M_tot in μB per cell: 0.9
Raw total energy in eV/atom: -6.065
SG: Fm-3m

---

Entry 5:
Material: Ba3InGe2O8
Method: DFT, PBE
State: optimized geometry

Unit cell a=6.0006 b=6.0006 c=7.6319 alpha=90.00 beta=90.00 gamma=120.00
Element x y z (fractional)
Ba  0.3333  0.6667  0.6596
Ba  0.0000  0.0000  0.0000
Ba  0.6667  0.3333  0.3404
O  0.8266  0.1734  0.6934
O  0.6532  0.8266  0.3066
O  0.3468  0.1734  0.6934
O  0.1734  0.3468  0.3066
O  0.8266  0.6532  0.6934
O  0.6667  0.3333  0.0165
O  0.1734  0.8266  0.3066
O  0.3333  0.6667  0.9835
Ge  0.6667  0.3333  0.7884
Ge  0.3333  0.6667  0.2116
In  0.0000  0.0000  0.5000

Summary:
Formation energy without anion corrections in eV/atom: -2.123
M_tot in μB per cell: 0.0
Raw total energy in eV/atom: -6.224
SG: P-3m1

---

Entry 6:
Material: BaIn2GePd2
Method: DFT, PBE
State: optimized geometry

Unit cell a=4.8316 b=4.8316 c=6.4059 alpha=90.00 beta=90.00 gamma=90.00
Element x y z (fractional)
Pd  0.5000  0.0000  0.0000
Pd  0.0000  0.5000  0.0000
Ba  0.0000  0.0000  0.5000
Ge  0.0000  0.0000  0.0000
In  0.5000  0.5000  0.2511
In  0.5000  0.5000  0.7489

Summary:
M_tot in μB per cell: 0.0
Raw total energy in eV/atom: -4.197
ΔE_f in eV per atom: -0.464
SG: P4/mmm

---

Entry 7:
Material: Ba3In2Ge2Pd4
Method: DFT, PBE
State: optimized geometry

Unit cell a=4.5058 b=4.5058 c=17.1936 alpha=90.00 beta=90.00 gamma=120.00
Element x y z (fractional)
Pd  0.6667  0.3333  0.6015
Pd  0.3333  0.6667  0.3985
Pd  0.6667  0.3333  0.1396
Pd  0.3333  0.6667  0.8604
Ge  0.3333  0.6667  0.1398
Ge  0.6667  0.3333  0.8602
In  0.3333  0.6667  0.5595
In  0.6667  0.3333  0.4405
Ba  0.0000  0.0000  0.0000
Ba  0.0000  0.0000  0.2738
Ba  0.0000  0.0000  0.7262

Summary:
M_tot in μB per cell: 0.0
Raw total energy in eV/atom: -4.288
ΔE_f in eV per atom: -0.538
SG: P-3m1

---

Entry 8:
Material: BaInGePd3
Method: DFT, PBE
State: optimized geometry

Unit cell a=6.2655 b=7.2649 c=7.5386 alpha=118.81 beta=90.00 gamma=90.00
Element x y z (fractional)
Ge  0.7500  0.9056  0.8112
Ge  0.2500  0.0944  0.1888
In  0.7500  0.5226  0.0452
In  0.2500  0.4774  0.9548
Ba  0.7500  0.2240  0.4480
Ba  0.2500  0.7760  0.5520
Pd  0.0000  0.8008  0.0000
Pd  0.5000  0.8008  0.0000
Pd  0.7500  0.7239  0.4478
Pd  0.5000  0.1992  0.0000
Pd  0.2500  0.2761  0.5522
Pd  0.0000  0.1992  0.0000

Summary:
M_tot in μB per cell: 0.0
Raw total energy in eV/atom: -4.645
ΔE_f in eV per atom: -0.502
SG: Cmcm